Computed, not measured: a geometry-optimized ScSiNi structure at the PBE level of DFT.

abc: 5.9462 4.0446 7.6834
angles: 90.00 90.00 90.00
With the nearest neighbours (Å) after each atom.
Space group Pnma (No. 62)
Asymmetric unit:
Sc: 0.1736 0.2500 0.0818 (multiplicity 4)  4 Ni 2.58-2.69, 2 Si 2.76
Si: 0.0110 0.2500 0.7188 (multiplicity 4)  3 Ni 2.33-2.41
Ni: 0.1080 0.2500 0.4252 (multiplicity 4)  3 Si 2.33-2.41, 1 Sc 2.58

Properties
Total magnetization in μB/f.u.: 0.0
Formation energy without anion corrections in eV/f.u.: -1.8
Density of states at the Fermi level in states/eV per cell: 7.5


Computed, not measured: a geometry-optimized Sc5SiNi2 structure at the PBE level of DFT.

abc: 6.9934 6.9934 12.2502
angles: 90.00 90.00 90.00
With the nearest neighbours (Å) after each atom.
Space group I4/mcm (No. 140)
Asymmetric unit:
Sc: 0.0000 0.0000 0.0000 (multiplicity 4)  4 Ni 2.75, 2 Si 3.06
Sc: 0.1611 0.3389 0.1449 (multiplicity 16)  3 Ni 2.70-2.73, 2 Si 2.92
Si: 0.0000 0.0000 0.2500 (multiplicity 4)  10 Sc 2.92-3.06
Ni: 0.1287 0.3713 0.5000 (multiplicity 8)  1 Ni 2.54, 8 Sc 2.70-2.75

Properties
Total magnetization in μB/f.u.: 0.0
Formation energy without anion corrections in eV/f.u.: -3.9
Density of states at the Fermi level in states/eV per cell: 33.9


Computed, not measured: a geometry-optimized ScSiNi6 structure at the PBE level of DFT.

abc: 6.0836 6.0836 10.1799
angles: 90.00 90.00 120.00
With the nearest neighbours (Å) after each atom.
Space group R-3m (No. 166, hexagonal axes)
Asymmetric unit:
Sc: 0.0000 0.0000 0.0000 (multiplicity 3)  6 Ni 2.67
Si: 0.0000 0.0000 0.5000 (multiplicity 3)  6 Ni 2.23
Ni: 0.0750 0.5375 0.8926 (multiplicity 18)  1 Si 2.23, 5 Ni 2.33-2.47

Properties
E above lowest polymorph in meV/atom: 380
Total magnetization in μB/f.u.: 0.0
Formation energy without anion corrections in eV/f.u.: -0.2
Density of states at the Fermi level in states/eV per cell: 23.2


Computed, not measured: a geometry-optimized ScSiNi3 structure at the PBE level of DFT.

abc: 3.8275 26.9198 2.6974
angles: 90.00 90.00 90.00
With the nearest neighbours (Å) after each atom.
Space group Cmmm (No. 65)
Asymmetric unit:
Sc: 0.0000 0.1238 0.0000 (multiplicity 4)  5 Ni 2.56-2.77, 2 Sc 2.70
Si: 0.0000 0.3031 0.5000 (multiplicity 4)  6 Ni 2.43-2.57, 2 Si 2.70
Ni: 0.0000 0.0429 0.5000 (multiplicity 4)  5 Ni 2.31-2.35, 2 Sc 2.56
Ni: 0.0000 0.2216 0.0000 (multiplicity 4)  6 Si 2.43-2.57, 4 Ni 2.45-2.70, 1 Sc 2.63
Ni: 0.0000 0.4504 0.0000 (multiplicity 4)  4 Ni 2.35

Properties
E above lowest polymorph in meV/atom: 266
Total magnetization in μB/f.u.: 0.1
Formation energy without anion corrections in eV/f.u.: -0.6
Density of states at the Fermi level in states/eV per cell: 22.5


Computed, not measured: a geometry-optimized ScSiNi structure at the PBE level of DFT.

abc: 6.4353 4.0142 6.9515
angles: 90.00 90.00 90.00
With the nearest neighbours (Å) after each atom.
Space group Pnma (No. 62)
Asymmetric unit:
Sc: 0.0066 0.2500 0.2024 (multiplicity 4)  6 Ni 2.77-3.01, 6 Si 2.79-2.98
Si: 0.1986 0.2500 0.5929 (multiplicity 4)  4 Ni 2.34-2.47
Ni: 0.1853 0.7500 0.4203 (multiplicity 4)  4 Si 2.34-2.47

Properties
Total magnetization in μB/f.u.: 0.0
Formation energy without anion corrections in eV/f.u.: -2.7
Density of states at the Fermi level in states/eV per cell: 7.3


Computed, not measured: a geometry-optimized ScSi2Ni structure at the PBE level of DFT.

abc: 6.1637 6.1637 6.1637
angles: 90.00 90.00 90.00
With the nearest neighbours (Å) after each atom.
Space group Fm-3m (No. 225)
Asymmetric unit:
Sc: 0.0000 0.0000 0.0000 (multiplicity 4)  8 Si 2.67
Si: 0.2500 0.2500 0.2500 (multiplicity 8)  4 Ni 2.67, 4 Sc 2.67
Ni: 0.0000 0.0000 0.5000 (multiplicity 4)  8 Si 2.67

Properties
Total magnetization in μB/f.u.: 0.0
Formation energy without anion corrections in eV/f.u.: -0.8
Density of states at the Fermi level in states/eV per cell: 11.5


Computed, not measured: a geometry-optimized Sc3Si4Ni2 structure at the PBE level of DFT.

abc: 11.6912 3.9879 11.9633
angles: 90.00 90.00 90.00
With the nearest neighbours (Å) after each atom.
Space group Pnma (No. 62)
Asymmetric unit:
Sc: 0.0192 0.2500 0.1867 (multiplicity 4)  6 Si 2.69-2.90, 5 Ni 2.85-2.94
Sc: 0.1950 0.7500 0.5798 (multiplicity 4)  8 Si 2.84-3.01, 1 Ni 3.08
Sc: 0.2467 0.2500 0.3488 (multiplicity 4)  7 Si 2.63-2.86, 1 Ni 2.87
Si: 0.0576 0.2500 0.4671 (multiplicity 4)  3 Ni 2.34-2.37, 2 Si 2.53
Si: 0.1090 0.2500 0.9361 (multiplicity 4)  3 Ni 2.28-2.36, 1 Si 2.43
Si: 0.1231 0.2500 0.7334 (multiplicity 4)  1 Ni 2.34, 2 Si 2.41-2.43
Si: 0.1731 0.7500 0.2019 (multiplicity 4)  2 Ni 2.31-2.43, 1 Si 2.41
Ni: 0.0496 0.7500 0.3652 (multiplicity 4)  5 Si 2.34-2.43
Ni: 0.0891 0.7500 0.0271 (multiplicity 4)  4 Si 2.28-2.36

Properties
E above lowest polymorph in meV/atom: 0
Total magnetization in μB/f.u.: 0.0
Formation energy without anion corrections in eV/f.u.: -7.6
Density of states at the Fermi level in states/eV per cell: 17.6


Computed, not measured: a geometry-optimized ScSiNi5 structure at the PBE level of DFT.

abc: 3.6905 3.6905 6.5095
angles: 90.00 90.00 90.00
With the nearest neighbours (Å) after each atom.
Space group P4/mmm (No. 123)
Asymmetric unit:
Sc: 0.0000 0.0000 0.0000 (multiplicity 1)  12 Ni 2.61-2.66
Si: 0.5000 0.5000 0.5000 (multiplicity 1)  8 Ni 2.28
Ni: 0.0000 0.5000 0.2937 (multiplicity 4)  2 Si 2.28
Ni: 0.5000 0.5000 0.0000 (multiplicity 1)  4 Sc 2.61, 8 Ni 2.66

Properties
Total magnetization in μB/f.u.: 0.0
Formation energy without anion corrections in eV/f.u.: -2.9
Density of states at the Fermi level in states/eV per cell: 4.0


Computed, not measured: a geometry-optimized ScSi3Ni3 structure at the PBE level of DFT.

abc: 6.1666 6.1666 6.1666
angles: 90.00 90.00 90.00
With the nearest neighbours (Å) after each atom.
Space group Pm-3n (No. 223)
Asymmetric unit:
Sc: 0.0000 0.0000 0.0000 (multiplicity 2)  12 Ni 3.45, 12 Si 3.45
Si: 0.0000 0.2500 0.5000 (multiplicity 6)  4 Ni 2.18
Ni: 0.0000 0.5000 0.2500 (multiplicity 6)  4 Si 2.18

Properties
E above lowest polymorph in meV/atom: 305
Total magnetization in μB/f.u.: 0.0
Formation energy without anion corrections in eV/f.u.: -0.7
Density of states at the Fermi level in states/eV per cell: 9.4


Computed, not measured: a geometry-optimized ScSiNi2 structure at the PBE level of DFT.

abc: 6.0029 6.0029 6.0029
angles: 90.00 90.00 90.00
With the nearest neighbours (Å) after each atom.
Space group F-43m (No. 216)
Asymmetric unit:
Sc: 0.0000 0.0000 0.0000 (multiplicity 4)  4 Ni 2.60, 4 Si 2.60
Si: 0.2500 0.2500 0.2500 (multiplicity 4)  4 Ni 2.60, 4 Sc 2.60
Ni: 0.0000 0.0000 0.5000 (multiplicity 4)  4 Ni 2.60, 4 Si 2.60
Ni: 0.2500 0.2500 0.7500 (multiplicity 4)  4 Ni 2.60, 4 Sc 2.60

Properties
Total magnetization in μB/f.u.: 0.0
Formation energy without anion corrections in eV/f.u.: -1.5
Density of states at the Fermi level in states/eV per cell: 12.1


Computed, not measured: a geometry-optimized ScSiNi3 structure at the PBE level of DFT.

abc: 3.6852 21.6639 3.5572
angles: 90.00 90.00 90.00
With the nearest neighbours (Å) after each atom.
Space group Cmmm (No. 65)
Asymmetric unit:
Sc: 0.0000 0.1711 0.0000 (multiplicity 4)  8 Ni 2.75-3.08, 4 Si 2.84
Si: 0.0000 0.3854 0.5000 (multiplicity 4)  5 Ni 2.21-2.25
Ni: 0.0000 0.0552 0.5000 (multiplicity 4)  2 Si 2.25, 1 Ni 2.39
Ni: 0.0000 0.2823 0.5000 (multiplicity 4)  1 Si 2.23, 2 Ni 2.31
Ni: 0.0000 0.4461 0.0000 (multiplicity 4)  2 Si 2.21, 1 Ni 2.34

Properties
E above lowest polymorph in meV/atom: 0
Total magnetization in μB/f.u.: 0.0
Formation energy without anion corrections in eV/f.u.: -2.0
Density of states at the Fermi level in states/eV per cell: 10.1


Computed, not measured: a geometry-optimized ScSiNi3 structure at the PBE level of DFT.

abc: 5.1365 8.8217 6.5306
angles: 90.00 90.00 90.00
With the nearest neighbours (Å) after each atom.
Space group Imma (No. 74)
Asymmetric unit:
Sc: 0.0000 0.2500 0.0863 (multiplicity 4)  7 Ni 2.63-2.85
Si: 0.0000 0.0000 0.5000 (multiplicity 4)  6 Ni 2.21-2.27
Ni: 0.0000 0.2500 0.4993 (multiplicity 4)  2 Si 2.21, 4 Ni 2.45
Ni: 0.2500 0.1036 0.7500 (multiplicity 8)  2 Si 2.27, 2 Ni 2.45

Properties
E above lowest polymorph in meV/atom: 25
Total magnetization in μB/f.u.: 0.0
Formation energy without anion corrections in eV/f.u.: -1.8
Density of states at the Fermi level in states/eV per cell: 13.7


Computed, not measured: a geometry-optimized ScSi2Ni structure at the PBE level of DFT.

abc: 3.0111 3.9407 5.0790
angles: 90.00 90.00 90.00
With the nearest neighbours (Å) after each atom.
Space group Pmmm (No. 47)
Asymmetric unit:
Sc: 0.0000 0.0000 0.0000 (multiplicity 1)  8 Si 2.80, 4 Ni 2.95, 2 Sc 3.01
Si: 0.5000 0.5000 0.2579 (multiplicity 2)  2 Ni 2.32, 1 Si 2.46
Ni: 0.5000 0.0000 0.5000 (multiplicity 1)  4 Si 2.32

Properties
Total magnetization in μB/f.u.: 0.0
Formation energy without anion corrections in eV/f.u.: -2.2
Density of states at the Fermi level in states/eV per cell: 1.6


Computed, not measured: a geometry-optimized ScSi3Ni structure at the PBE level of DFT.

abc: 4.4349 4.4349 4.4349
angles: 90.00 90.00 90.00
With the nearest neighbours (Å) after each atom.
Space group Pm-3m (No. 221)
Asymmetric unit:
Sc: 0.0000 0.0000 0.0000 (multiplicity 1)  12 Si 3.14
Si: 0.0000 0.5000 0.5000 (multiplicity 3)  2 Ni 2.22
Ni: 0.5000 0.5000 0.5000 (multiplicity 1)  6 Si 2.22

Properties
Total magnetization in μB/f.u.: 0.0
Formation energy without anion corrections in eV/f.u.: 0.8
Density of states at the Fermi level in states/eV per cell: 3.9


Computed, not measured: a geometry-optimized ScSi2Ni structure at the PBE level of DFT.

abc: 3.7129 3.7129 8.5178
angles: 90.00 90.00 90.00
With the nearest neighbours (Å) after each atom.
Space group I4/mmm (No. 139)
Asymmetric unit:
Sc: 0.0000 0.0000 0.0000 (multiplicity 2)  4 Ni 2.63, 8 Si 2.83
Si: 0.0000 0.5000 0.2500 (multiplicity 4)  4 Si 2.63, 4 Ni 2.83, 4 Sc 2.83
Ni: 0.0000 0.0000 0.5000 (multiplicity 2)  4 Sc 2.63, 8 Si 2.83

Properties
Total magnetization in μB/f.u.: 0.0
Formation energy without anion corrections in eV/f.u.: -0.9
Density of states at the Fermi level in states/eV per cell: 7.0


Computed, not measured: a geometry-optimized ScSi4Ni2 structure at the PBE level of DFT.

abc: 15.8178 3.8672 6.3011
angles: 90.00 90.00 90.00
With the nearest neighbours (Å) after each atom.
Space group Pnma (No. 62)
Asymmetric unit:
Sc: 0.1434 0.2500 0.0325 (multiplicity 4)  10 Si 2.75-3.04, 4 Ni 2.96-3.01
Si: 0.0336 0.7500 0.8756 (multiplicity 4)  3 Ni 2.32-2.35
Si: 0.0618 0.2500 0.4673 (multiplicity 4)  4 Ni 2.31-2.43
Si: 0.1806 0.7500 0.3385 (multiplicity 4)  4 Ni 2.38-2.52, 1 Si 2.59
Si: 0.1926 0.7500 0.7480 (multiplicity 4)  3 Ni 2.34-2.41, 1 Si 2.59
Ni: 0.0305 0.7500 0.2483 (multiplicity 4)  7 Si 2.31-2.44
Ni: 0.2112 0.2500 0.5450 (multiplicity 4)  7 Si 2.34-2.52

Properties
Total magnetization in μB/f.u.: 0.0
Formation energy without anion corrections in eV/f.u.: -3.4
Density of states at the Fermi level in states/eV per cell: 14.8


Computed, not measured: a geometry-optimized Sc2Si7Ni12 structure at the PBE level of DFT.

abc: 9.3223 9.3223 3.4880
angles: 90.00 90.00 120.00
With the nearest neighbours (Å) after each atom.
Space group P-3 (No. 147)
Asymmetric unit:
Sc: 0.3333 0.6667 0.2466 (multiplicity 2)  6 Si 2.81-2.83, 6 Ni 2.94-2.96
Si: 0.0000 0.0000 0.5000 (multiplicity 1)  6 Ni 2.28
Si: 0.1200 0.7095 0.7493 (multiplicity 6)  7 Ni 2.30-2.33
Ni: 0.0578 0.4381 0.7517 (multiplicity 6)  4 Si 2.30-2.33
Ni: 0.1130 0.2608 0.2508 (multiplicity 6)  4 Si 2.28-2.33

Properties
Total magnetization in μB/f.u.: 0.0
Formation energy without anion corrections in eV/f.u.: -13.9
Density of states at the Fermi level in states/eV per cell: 8.4


Computed, not measured: a geometry-optimized ScSiNi6 structure at the PBE level of DFT.

abc: 7.1181 10.2977 10.2571
angles: 90.00 90.00 90.00
With the nearest neighbours (Å) after each atom.
Space group Cmmm (No. 65)
Asymmetric unit:
Sc: 0.0000 0.0000 0.2488 (multiplicity 4)  12 Ni 2.55-2.64
Sc: 0.0000 0.2406 0.5000 (multiplicity 4)  12 Ni 2.48-2.69
Si: 0.0000 0.2330 0.0000 (multiplicity 4)  11 Ni 2.40-2.53
Si: 0.0000 0.5000 0.2473 (multiplicity 4)  12 Ni 2.42-2.59
Ni: 0.0000 0.0000 0.0000 (multiplicity 2)  2 Si 2.40, 2 Sc 2.55, 8 Ni 2.59
Ni: 0.0000 0.0000 0.5000 (multiplicity 2)  4 Sc 2.48-2.58, 8 Ni 2.65
Ni: 0.0000 0.2505 0.2375 (multiplicity 8)  8 Ni 2.43-2.66, 2 Si 2.44-2.57, 2 Sc 2.58-2.69
Ni: 0.0000 0.5000 0.0000 (multiplicity 2)  8 Ni 2.46, 4 Si 2.54-2.75
Ni: 0.0000 0.5000 0.5000 (multiplicity 2)  8 Ni 2.50, 2 Si 2.59, 2 Sc 2.67
Ni: 0.2343 0.3775 0.3669 (multiplicity 16)  1 Si 2.42, 7 Ni 2.50-2.66, 3 Sc 2.58-2.63
Ni: 0.2375 0.3726 0.1186 (multiplicity 16)  8 Ni 2.43-2.62, 3 Si 2.48-2.53, 1 Sc 2.64

Properties
E above lowest polymorph in meV/atom: 0
Total magnetization in μB/f.u.: 0.0
Formation energy without anion corrections in eV/f.u.: -3.3
Density of states at the Fermi level in states/eV per cell: 71.9


Computed, not measured: a geometry-optimized ThScSi2Ni2 structure at the PBE level of DFT.

abc: 4.1156 4.1156 7.0138
angles: 90.00 90.00 120.00
With the nearest neighbours (Å) after each atom.
Space group P-3m1 (No. 164)
Asymmetric unit:
Th: 0.0000 0.0000 0.0000 (multiplicity 1)  6 Si 3.11, 6 Ni 3.21
Sc: 0.0000 0.0000 0.5000 (multiplicity 1)  6 Ni 2.73, 6 Si 2.81
Si: 0.3333 0.6667 0.2860 (multiplicity 2)  3 Ni 2.38
Ni: 0.3333 0.6667 0.6920 (multiplicity 2)  3 Si 2.38

Properties
Total magnetization in μB/f.u.: 0.0
Formation energy without anion corrections in eV/f.u.: -5.1
Density of states at the Fermi level in states/eV per cell: 3.0


Computed, not measured: a geometry-optimized ScTiSiNi2 structure at the PBE level of DFT.

abc: 4.3488 4.3488 4.6774
angles: 90.00 90.00 90.00
With the nearest neighbours (Å) after each atom.
Space group P4/mmm (No. 123)
Asymmetric unit:
Sc: 0.0000 0.0000 0.0000 (multiplicity 1)  4 Si 3.08, 8 Ni 3.19
Ti: 0.5000 0.5000 0.5000 (multiplicity 1)  4 Ni 2.17, 2 Si 2.34
Si: 0.5000 0.5000 0.0000 (multiplicity 1)  2 Ti 2.34
Ni: 0.0000 0.5000 0.5000 (multiplicity 2)  2 Ti 2.17

Properties
Total magnetization in μB/f.u.: 0.0
Formation energy without anion corrections in eV/f.u.: 1.6
Density of states at the Fermi level in states/eV per cell: 5.0